Entry 1:
# GdThH2 | the Alexandria database | GGA-PBE | optimized geometry
# total magnetization: 1.77 μB per atom
# VASP energy: -7.3782 eV/atom
# mass density: 9.89 g/cm³
data_GdThH2
_chemical_formula_sum 'Gd3 Th3 H6'
_symmetry_space_group_name_H-M 'R -3 m'
_symmetry_Int_Tables_number 166
_symmetry_space_group_name_Hall '-R 3 2"'
_cell_length_a 3.5909
_cell_length_b 3.5909
_cell_length_c 17.6562
_cell_angle_alpha 90.00
_cell_angle_beta 90.00
_cell_angle_gamma 120.00
loop_
_atom_site_label
_atom_site_fract_x
_atom_site_fract_y
_atom_site_fract_z
Gd1 0.0000 0.0000 0.0000
Th1 0.0000 0.0000 0.5000
H1 0.0000 0.0000 0.2500

=====

Entry 2:
# GdThH | the Alexandria database | GGA-PBE | optimized geometry
# total magnetization: 2.42 μB per atom
# VASP energy: -8.4432 eV/atom
# mass density: 9.73 g/cm³
data_GdThH
_chemical_formula_sum 'Gd1 Th1 H1'
_symmetry_space_group_name_H-M 'P 3 m 1'
_symmetry_Int_Tables_number 156
_cell_length_a 3.6129
_cell_length_b 3.6129
_cell_length_c 5.8949
_cell_angle_alpha 90.00
_cell_angle_beta 90.00
_cell_angle_gamma 120.00
loop_
_symmetry_equiv_pos_as_xyz
'x,y,z'
'-y,x-y,z'
'-x+y,-x,z'
'-y,-x,z'
'-x+y,y,z'
'x,x-y,z'
loop_
_atom_site_label
_atom_site_fract_x
_atom_site_fract_y
_atom_site_fract_z
Gd1 0.0000 0.0000 0.0000
Th1 0.6667 0.3333 0.5045
H1 0.3333 0.6667 0.7609

=====

Entry 3:
# GdThH | the Alexandria database | GGA-PBE | optimized geometry
# total magnetization: 2.38 μB per atom
# VASP energy: -8.4929 eV/atom
# mass density: 9.29 g/cm³
data_GdThH
_chemical_formula_sum 'Gd4 Th4 H4'
_symmetry_space_group_name_H-M 'P 1 21/c 1'
_symmetry_Int_Tables_number 14
_cell_length_a 7.165
_cell_length_b 6.285
_cell_length_c 6.912
_cell_angle_alpha 90.00
_cell_angle_beta 116.27
_cell_angle_gamma 90.00
loop_
_symmetry_equiv_pos_as_xyz
'x,y,z'
'-x,-y,-z'
'-x,y+1/2,-z+1/2'
'x,-y+1/2,z+1/2'
loop_
_atom_site_label
_atom_site_fract_x
_atom_site_fract_y
_atom_site_fract_z
Gd1 0.114 0.169 0.368
Th1 0.391 0.672 0.623
H1 0.072 0.665 0.943

=====

Entry 4:
# GdThH | the Alexandria database | GGA-PBE | optimized geometry
# total magnetization: 2.40 μB per atom
# VASP energy: -8.3413 eV/atom
# mass density: 9.09 g/cm³
data_GdThH
_chemical_formula_sum 'Gd2 Th2 H2'
_symmetry_space_group_name_H-M 'I 4 m m'
_symmetry_Int_Tables_number 107
_symmetry_space_group_name_Hall 'I 4 -2'
_cell_length_a 3.394
_cell_length_b 3.394
_cell_length_c 12.380
_cell_angle_alpha 90.00
_cell_angle_beta 90.00
_cell_angle_gamma 90.00
loop_
_atom_site_label
_atom_site_fract_x
_atom_site_fract_y
_atom_site_fract_z
Gd1 0.000 0.000 0.000
Th1 0.000 0.000 0.291
H1 0.000 0.000 0.477

=====

Entry 5:
# Gd3ThH | the Alexandria database | GGA-PBE | optimized geometry
# total magnetization: 4.25 μB per atom
# VASP energy: -10.7362 eV/atom
# mass density: 9.20 g/cm³
data_Gd3ThH
_chemical_formula_sum 'Gd3 Th1 H1'
_symmetry_space_group_name_H-M 'P m -3 m'
_symmetry_Int_Tables_number 221
_symmetry_space_group_name_Hall '-P 4 2 3'
_cell_length_a 5.030
_cell_length_b 5.030
_cell_length_c 5.030
_cell_angle_alpha 90.00
_cell_angle_beta 90.00
_cell_angle_gamma 90.00
loop_
_atom_site_label
_atom_site_fract_x
_atom_site_fract_y
_atom_site_fract_z
Gd1 0.000 0.000 0.500
Th1 0.500 0.500 0.500
H1 0.000 0.000 0.000

=====

Entry 6:
# Gd3TiH | the Alexandria database | GGA-PBE | optimized geometry
# total magnetization: 4.08 μB per atom
# VASP energy: -10.7148 eV/atom
# mass density: 7.58 g/cm³
data_Gd3TiH
_chemical_formula_sum 'Gd3 Ti1 H1'
_symmetry_space_group_name_H-M 'P m -3 m'
_symmetry_Int_Tables_number 221
_symmetry_space_group_name_Hall '-P 4 2 3'
_cell_length_a 4.849
_cell_length_b 4.849
_cell_length_c 4.849
_cell_angle_alpha 90.00
_cell_angle_beta 90.00
_cell_angle_gamma 90.00
loop_
_atom_site_label
_atom_site_fract_x
_atom_site_fract_y
_atom_site_fract_z
Gd1 0.000 0.000 0.500
Ti1 0.500 0.500 0.500
H1 0.000 0.000 0.000

=====

Entry 7:
# Gd2TiH4 | the Alexandria database | GGA-PBE | optimized geometry
# total magnetization: 2.33 μB per atom
# VASP energy: -7.4258 eV/atom
# mass density: 7.11 g/cm³
data_Gd2TiH4
_chemical_formula_sum 'Gd4 Ti2 H8'
_symmetry_space_group_name_H-M 'I 4/m m m'
_symmetry_Int_Tables_number 139
_symmetry_space_group_name_Hall '-I 4 2'
_cell_length_a 3.726
_cell_length_b 3.726
_cell_length_c 12.330
_cell_angle_alpha 90.00
_cell_angle_beta 90.00
_cell_angle_gamma 90.00
loop_
_atom_site_label
_atom_site_fract_x
_atom_site_fract_y
_atom_site_fract_z
Gd1 0.000 0.000 0.153
Ti1 0.000 0.000 0.500
H1 0.000 0.000 0.342
H2 0.000 0.500 0.000

=====

Entry 8:
# GdTiH2 | the Alexandria database | GGA-PBE | optimized geometry
# total magnetization: 1.92 μB per atom
# VASP energy: -7.3934 eV/atom
# mass density: 7.15 g/cm³
data_GdTiH2
_chemical_formula_sum 'Gd3 Ti3 H6'
_symmetry_space_group_name_H-M 'R -3 m'
_symmetry_Int_Tables_number 166
_symmetry_space_group_name_Hall '-R 3 2"'
_cell_length_a 3.1952
_cell_length_b 3.1952
_cell_length_c 16.3325
_cell_angle_alpha 90.00
_cell_angle_beta 90.00
_cell_angle_gamma 120.00
loop_
_atom_site_label
_atom_site_fract_x
_atom_site_fract_y
_atom_site_fract_z
Gd1 0.0000 0.0000 0.0000
Ti1 0.0000 0.0000 0.5000
H1 0.0000 0.0000 0.2239

=====

Entry 9:
# Gd2TlH | the Alexandria database | GGA-PBE | optimized geometry
# total magnetization: 3.67 μB per atom
# VASP energy: -8.7702 eV/atom
# mass density: 9.46 g/cm³
data_Gd2TlH
_chemical_formula_sum 'Gd6 Tl3 H3'
_symmetry_space_group_name_H-M 'R -3 m'
_symmetry_Int_Tables_number 166
_symmetry_space_group_name_Hall '-R 3 2"'
_cell_length_a 3.6561
_cell_length_b 3.6561
_cell_length_c 23.6553
_cell_angle_alpha 90.00
_cell_angle_beta 90.00
_cell_angle_gamma 120.00
loop_
_atom_site_label
_atom_site_fract_x
_atom_site_fract_y
_atom_site_fract_z
Gd1 0.0000 0.0000 0.2253
Tl1 0.0000 0.0000 0.0000
H1 0.0000 0.0000 0.5000

=====

Entry 10:
# GdTmH | the Alexandria database | GGA-PBE | optimized geometry
# total magnetization: 2.46 μB per atom
# VASP energy: -7.5437 eV/atom
# mass density: 8.70 g/cm³
data_GdTmH
_chemical_formula_sum 'Gd1 Tm1 H1'
_symmetry_space_group_name_H-M 'P 3 m 1'
_symmetry_Int_Tables_number 156
_cell_length_a 3.5931
_cell_length_b 3.5931
_cell_length_c 5.5873
_cell_angle_alpha 90.00
_cell_angle_beta 90.00
_cell_angle_gamma 120.00
loop_
_symmetry_equiv_pos_as_xyz
'x,y,z'
'-y,x-y,z'
'-x+y,-x,z'
'-y,-x,z'
'-x+y,y,z'
'x,x-y,z'
loop_
_atom_site_label
_atom_site_fract_x
_atom_site_fract_y
_atom_site_fract_z
Gd1 0.0000 0.0000 0.0000
Tm1 0.3333 0.6667 0.4888
H1 0.6667 0.3333 0.2504

=====

Entry 11:
# Gd3Tm5H12 | the Alexandria database | GGA-PBE | optimized geometry
# total magnetization: 1.13 μB per atom
# VASP energy: -5.7119 eV/atom
# mass density: 8.10 g/cm³
data_Gd3Tm5H12
_chemical_formula_sum 'Gd24 Tm40 H96'
_symmetry_space_group_name_H-M 'I a -3 d'
_symmetry_Int_Tables_number 230
_symmetry_space_group_name_Hall '-I 4bd 2c 3'
_cell_length_a 12.965
_cell_length_b 12.965
_cell_length_c 12.965
_cell_angle_alpha 90.00
_cell_angle_beta 90.00
_cell_angle_gamma 90.00
loop_
_atom_site_label
_atom_site_fract_x
_atom_site_fract_y
_atom_site_fract_z
Gd1 0.000 0.250 0.125
Tm1 0.000 0.000 0.000
Tm2 0.000 0.250 0.375
H1 0.005 0.066 0.654

=====

Entry 12:
# Gd2TmH | the Alexandria database | GGA-PBE | optimized geometry
# total magnetization: 3.63 μB per atom
# VASP energy: -9.1675 eV/atom
# mass density: 8.42 g/cm³
data_Gd2TmH
_chemical_formula_sum 'Gd6 Tm3 H3'
_symmetry_space_group_name_H-M 'R -3 m'
_symmetry_Int_Tables_number 166
_symmetry_space_group_name_Hall '-R 3 2"'
_cell_length_a 3.6011
_cell_length_b 3.6011
_cell_length_c 25.5151
_cell_angle_alpha 90.00
_cell_angle_beta 90.00
_cell_angle_gamma 120.00
loop_
_atom_site_label
_atom_site_fract_x
_atom_site_fract_y
_atom_site_fract_z
Gd1 0.0000 0.0000 0.2222
Tm1 0.0000 0.0000 0.0000
H1 0.0000 0.0000 0.5000